[1]
First-principles (PBE) data for a relaxed NiAsP2 crystal, as listed in Alexandria.

Calculated values
The energy of formation is 159.4 meV per atom. For the total energy, the calculation gives -20.613 eV/f.u. The mass density is 4.626 Mg/m³.

Cell lengths 2.5669, 2.5669, 10.6549 Å; angles 90.00, 90.00, 90.00 degrees
With the nearest neighbours (Å) after each atom.
Space group P4/mmm (No. 123)
Unique sites:
Ni  0.0000  0.0000  0.0000  8 P 2.45, 4 Ni 2.57
As  0.0000  0.0000  0.5000  4 As 2.57
P  0.5000  0.5000  0.1543  4 Ni 2.45, 4 P 2.57

[2]
First-principles (PBE) data for a relaxed Tb2PdPt crystal, as listed in Alexandria.

Calculated values
The energy of formation is -921.6 meV per atom. For the total energy, the calculation gives -24.181 eV/f.u. The mass density is 10.441 Mg/m³.

Cell lengths 4.0749, 4.0749, 20.5495 Å; angles 90.00, 90.00, 120.00 degrees
With the nearest neighbours (Å) after each atom.
Space group R3m (No. 160, hexagonal axes)
Unique sites:
Tb  0.0000  0.0000  0.0000  3 Pt 2.86, 3 Pd 3.01
Tb  0.0000  0.0000  0.1772  3 Pt 2.83, 3 Pd 2.94
Pd  0.0000  0.0000  0.4243  6 Tb 2.94-3.01
Pt  0.0000  0.0000  0.5871  6 Tb 2.83-2.86